No. 1
Below is an optimized crystal structure of Be2SbH2, with properties calculated at the PBE-GGA level.

Cell: 3.2503 3.2503 5.4831 Å, 72.76 72.76 90.00°
Positions (direct):
H1 0.2971 0.2971 0.4058
Be1 0.7500 0.2500 0.5000
Sb1 0.0000 0.0000 0.0000
Be2 0.2500 0.7500 0.5000
H2 0.7029 0.7029 0.5942

relative energy among the computed polymorphs = 0 meV per atom
calculated density = 4477 kg/m³
crystal system = tetragonal
total magnetic moment = 0.000 μB per formula unit
space-group type = No. 139

No. 2
Below is an optimized crystal structure of BeSbH2, with properties calculated at the PBE-GGA level.

Cell: 5.0396 5.0396 5.0389 Å, 60.00 60.00 90.00°
Positions (direct):
Sb1 0.7500 0.2500 0.5000
H1 0.8750 0.6250 0.7500
H2 0.3750 0.6250 0.7500
Be1 0.5000 0.5000 0.0000
Sb2 0.0000 0.0000 0.0000
H3 0.3750 0.6250 0.2500
H4 0.3750 0.1250 0.2500
Be2 0.2500 0.7500 0.5000

relative energy among the computed polymorphs = 346 meV per atom
calculated density = 4874 kg/m³
crystal system = cubic
total magnetic moment = 0.000 μB per formula unit
space-group type = No. 227

No. 3
Below is an optimized crystal structure of BeSbH2, with properties calculated at the PBE-GGA level.

Cell: 4.1832 4.8468 7.9931 Å, 93.00 105.10 90.04°
Positions (direct):
H1 0.8391 0.7510 0.6678
Be1 0.2571 0.4067 0.0376
H2 0.9565 0.2648 0.9366
Be2 0.7568 0.4070 0.0377
H3 0.4584 0.5376 0.9397
H4 0.8659 0.8467 0.7476
Sb1 0.6387 0.2085 0.3021
Sb2 0.1414 0.6378 0.3064

relative energy among the computed polymorphs = 60 meV per atom
calculated density = 2823 kg/m³
crystal system = triclinic
total magnetic moment = 0.000 μB per formula unit
space-group type = No. 1

No. 4
Below is an optimized crystal structure of BeSbH2Se, with properties calculated at the PBE-GGA level.

Cell: 3.7893 5.4387 3.7893 Å, 90.00 90.00 90.00°
Positions (direct):
H1 0.5000 0.0000 0.0000
Se1 0.5000 0.5000 0.5000
H2 0.0000 0.0000 0.5000
Sb1 0.0000 0.5000 0.0000
Be1 0.0000 0.0000 0.0000

DFT total energy = -3.110 eV per atom
calculated density = 4502 kg/m³
crystal system = tetragonal
total magnetic moment = 0.000 μB per formula unit
space-group type = No. 123

No. 5
Below is an optimized crystal structure of BeSbTe2H, with properties calculated at the PBE-GGA level.

Cell: 5.1102 5.1102 4.8144 Å, 90.00 90.00 90.00°
Each line ends with the local moment (μB).
Positions (direct):
Te1 0.0000 0.5000 0.0000  0.04
H1 0.5000 0.5000 0.5000  0.33
Sb1 0.0000 0.0000 0.5000  0.01
Te2 0.5000 0.0000 0.0000  0.04
Be1 0.0000 0.0000 0.0000  0.01

relative energy among the computed polymorphs = 43 meV per atom
calculated density = 5111 kg/m³
crystal system = tetragonal
total magnetic moment = 1.016 μB per formula unit
space-group type = No. 123

No. 6
Below is an optimized crystal structure of BeSbTe2H, with properties calculated at the PBE-GGA level.

Cell: 5.2575 5.2575 3.8394 Å, 90.00 90.00 90.00°
Positions (direct):
Te1 0.0000 0.5000 0.0000
Sb1 0.0000 0.0000 0.5000
Te2 0.5000 0.0000 0.0000
Be1 0.5000 0.5000 0.5000
H1 0.0000 0.0000 0.0000

relative energy among the computed polymorphs = 0 meV per atom
calculated density = 6055 kg/m³
crystal system = tetragonal
total magnetic moment = 0.000 μB per formula unit
space-group type = No. 123

No. 7
Below is an optimized crystal structure of ScBe3H, with properties calculated at the PBE-GGA level.

Cell: 5.1691 5.1691 5.1691 Å, 90.00 90.00 90.00°
Each line ends with the local moment (μB).
Positions (direct):
H1 0.5000 0.5000 0.5000  0.30
Be1 0.5000 0.0000 0.0000  -0.01
Sc1 0.0000 0.0000 0.0000  -0.11
Be2 0.0000 0.5000 0.0000  -0.01
Be3 0.0000 0.0000 0.5000  -0.01

relative energy among the computed polymorphs = 1952 meV per atom
calculated density = 878 kg/m³
crystal system = cubic
total magnetic moment = 0.273 μB per formula unit
space-group type = No. 221

No. 8
Below is an optimized crystal structure of ScBeH3, with properties calculated at the PBE-GGA level.

Cell: 3.6942 3.6942 3.6942 Å, 90.00 90.00 90.00°
Positions (direct):
H1 0.0000 0.5000 0.0000
Sc1 0.0000 0.0000 0.0000
H2 0.0000 0.0000 0.5000
H3 0.5000 0.0000 0.0000
Be1 0.5000 0.5000 0.5000

relative energy among the computed polymorphs = 301 meV per atom
calculated density = 1877 kg/m³
crystal system = cubic
total magnetic moment = 0.000 μB per formula unit
space-group type = No. 221

Copy entry 3 word for word.
Below is an optimized crystal structure of BeSbH2, with properties calculated at the PBE-GGA level.

Cell: 4.1832 4.8468 7.9931 Å, 93.00 105.10 90.04°
Positions (direct):
H1 0.8391 0.7510 0.6678
Be1 0.2571 0.4067 0.0376
H2 0.9565 0.2648 0.9366
Be2 0.7568 0.4070 0.0377
H3 0.4584 0.5376 0.9397
H4 0.8659 0.8467 0.7476
Sb1 0.6387 0.2085 0.3021
Sb2 0.1414 0.6378 0.3064

relative energy among the computed polymorphs = 60 meV per atom
calculated density = 2823 kg/m³
crystal system = triclinic
total magnetic moment = 0.000 μB per formula unit
space-group type = No. 1

Question: Which of these has the highest total magnetic moment?
Answer: number 5